DFT (PBE) results for a relaxed structure of Ba6H2Ru.

It has space group Pnnm (No. 58), with a = 7.192 Å, b = 7.550 Å, c = 12.987 Å, α = 90.00°, β = 90.00° and γ = 90.00°. The distinct sites, in fractional coordinates, are Ba at (0.224, 0.162, 0.000), Ba at (0.237, 0.670, 0.167), H at (0.000, 0.000, 0.161) and Ru at (0.000, 0.500, 0.000).

As for the volume: 39.17 Å³ per atom. The density is 4.366 g/cm3. As for the total magnetization: 0.0 μB/f.u. The value obtained for the uncorrected energy is -3.125 eV per atom.


DFT (PBE) results for a relaxed structure of LaMoP2.

It has space group P4mm (No. 99), with a = 3.411 Å, b = 3.411 Å, c = 6.766 Å, α = 90.00°, β = 90.00° and γ = 90.00°. The distinct sites, in fractional coordinates, are La at (0.000, 0.000, 0.000), Mo at (0.500, 0.500, 0.394), P at (0.000, 0.000, 0.482) and P at (0.500, 0.500, 0.752).

As for the volume: 19.67 Å³ per atom. The density is 6.262 g/cm3. As for the total magnetization: 0.0 μB/f.u. The energy of formation is -0.323 eV per atom. The value obtained for the energy above the most stable polymorph in this dataset is 50.3 kJ/mol of atoms.


DFT (PBE) results for a relaxed structure of Ho2Mg2Ga4Au.

It has space group I4/mmm (No. 139), with a = 6.381 Å, b = 6.381 Å, c = 9.075 Å, α = 90.00°, β = 90.00° and γ = 90.00°. The distinct sites, in fractional coordinates, are Ho at (0.000, 0.500, 0.250), Mg at (0.000, 0.000, 0.217), Ga at (0.215, 0.215, 0.000) and Au at (0.000, 0.000, 0.500).

As for the volume: 20.53 Å³ per atom. The density is 7.677 g/cm3. As for the total magnetization: 0.0 μB/f.u. The energy of formation is -0.407 eV per atom.


DFT (PBE) results for a relaxed structure of AlNi2Te.

It has space group C2/m (No. 12), with a = 7.556 Å, b = 3.025 Å, c = 5.660 Å, α = 90.00°, β = 101.73° and γ = 90.00°. The distinct sites, in fractional coordinates, are Al at (0.000, 0.000, 0.000), Ni at (0.241, 0.500, 0.190) and Te at (0.000, 0.500, 0.500).

For the uncorrected formation energy, the calculation gives -10.2 kJ per mole of atoms. As for the volume: 15.83 Å³ per atom. The density is 7.131 g/cm3. As for the total magnetization: 0.0 μB/f.u. The value obtained for the energy above the most stable polymorph in this dataset is 5.4 kJ/mol of atoms.


DFT (PBE) results for a relaxed structure of NaZr2InH.

It has space group P4/mmm (No. 123), with a = 4.465 Å, b = 4.465 Å, c = 4.585 Å, α = 90.00°, β = 90.00° and γ = 90.00°. The distinct sites, in fractional coordinates, are Na at (0.000, 0.000, 0.000), Zr at (0.000, 0.500, 0.500), In at (0.500, 0.500, 0.000) and H at (0.000, 0.000, 0.500).

As for the volume: 18.28 Å³ per atom. The density is 5.837 g/cm3. As for the total magnetization: 0.0 μB/f.u. The value obtained for the uncorrected energy is -4.981 eV per atom.


DFT (PBE) results for a relaxed structure of SrRh2Pb.

It has space group Cm (No. 8), with a = 10.791 Å, b = 3.255 Å, c = 4.945 Å, α = 90.00°, β = 107.10° and γ = 90.00°. The distinct sites, in fractional coordinates, are Sr at (0.000, 0.000, 0.000), Rh at (0.019, 0.500, 0.504), Rh at (0.239, 0.000, 0.828) and Pb at (0.283, 0.500, 0.364).

As for the volume: 20.75 Å³ per atom. The density is 10.015 g/cm3. As for the total magnetization: 0.0 μB/f.u. The energy of formation is -0.031 eV per atom.


DFT (PBE) results for a relaxed structure of Sr2LaHg2.

It has space group I4/mmm (No. 139), with a = 5.131 Å, b = 5.131 Å, c = 13.816 Å, α = 90.00°, β = 90.00° and γ = 90.00°. The distinct sites, in fractional coordinates, are Sr at (0.000, 0.500, 0.250), La at (0.000, 0.000, 0.000) and Hg at (0.000, 0.000, 0.399).

As for the volume: 36.38 Å³ per atom. The density is 6.530 g/cm3. As for the total magnetization: 1.9 μB/f.u. The energy of formation is -0.152 eV per atom. The value obtained for the energy above the most stable polymorph in this dataset is 23.3 kJ/mol of atoms.


DFT (PBE) results for a relaxed structure of PrHfPaN4.

It has space group Cmcm (No. 63), with a = 5.837 Å, b = 12.254 Å, c = 5.894 Å, α = 90.00°, β = 90.00° and γ = 90.00°. The distinct sites, in fractional coordinates, are Pr at (0.000, 0.106, 0.250), Hf at (0.000, 0.244, 0.750), Pa at (0.000, 0.385, 0.250), N at (0.000, 0.077, 0.750), N at (0.000, 0.447, 0.750) and N at (0.250, 0.250, 0.000).

For the uncorrected formation energy, the calculation gives -126.0 kJ per mole of atoms. As for the volume: 15.06 Å³ per atom. The density is 9.555 g/cm3. As for the total magnetization: 0.0 μB/f.u.